[1]
Compound: Ce6SnS12
Source: Alexandria via LeMat-Bulk
Functional: GGA-PBE
Structure: optimized geometry

Lattice parameters (Å, degrees): 8.0083 8.0083 8.0083 99.93 99.93 99.93
Fractional coordinates of all 19 atoms:
Ce 0.1176 0.7998 0.6344
Ce 0.2002 0.3656 0.8824
Ce 0.3656 0.8824 0.2002
Ce 0.6344 0.1176 0.7998
Ce 0.7998 0.6344 0.1176
Ce 0.8824 0.2002 0.3656
Sn 0.5000 0.5000 0.5000
S 0.0674 0.9190 0.3229
S 0.0810 0.6771 0.9326
S 0.1777 0.4402 0.5553
S 0.3229 0.0674 0.9190
S 0.4402 0.5553 0.1777
S 0.4447 0.8223 0.5598
S 0.5553 0.1777 0.4402
S 0.5598 0.4447 0.8223
S 0.6771 0.9326 0.0810
S 0.8223 0.5598 0.4447
S 0.9190 0.3229 0.0674
S 0.9326 0.0810 0.6771

***

[2]
Compound: Ce2SnS
Source: Alexandria via LeMat-Bulk
Functional: GGA-PBE
Structure: optimized geometry

Lattice parameters (Å, degrees): 7.5335 7.5335 7.5335 32.42 32.42 32.42
Fractional coordinates of all 4 atoms:
Ce 0.2395 0.2395 0.2395
Ce 0.7605 0.7605 0.7605
Sn 0.0000 0.0000 0.0000
S 0.5000 0.5000 0.5000

***

[3]
Compound: Ce3Sn2S8
Source: Alexandria via LeMat-Bulk
Functional: GGA-PBE
Structure: optimized geometry

Lattice parameters (Å, degrees): 8.2217 8.2217 6.9533 106.59 106.59 60.82
Fractional coordinates of all 13 atoms:
Ce 0.0000 0.0000 0.0000
Ce 0.2632 0.7368 0.5000
Ce 0.7368 0.2632 0.5000
Sn 0.2401 0.2401 0.8185
Sn 0.7599 0.7599 0.1815
S 0.1007 0.6630 0.1006
S 0.1081 0.1081 0.4154
S 0.3370 0.8993 0.8994
S 0.3943 0.3943 0.5756
S 0.6057 0.6057 0.4244
S 0.6630 0.1007 0.1006
S 0.8919 0.8919 0.5846
S 0.8993 0.3370 0.8994

***

[4]
Compound: Ce3SnS6
Source: Alexandria via LeMat-Bulk
Functional: GGA-PBE
Structure: optimized geometry

Lattice parameters (Å, degrees): 8.6326 8.6326 7.0900 90.00 90.00 102.69
Fractional coordinates of all 20 atoms:
Ce 0.1021 0.8979 0.5000
Ce 0.2109 0.4176 0.4130
Ce 0.4176 0.2109 0.9130
Ce 0.5824 0.7891 0.4130
Ce 0.7891 0.5824 0.9130
Ce 0.8979 0.1021 0.0000
Sn 0.3222 0.6778 0.8834
Sn 0.6778 0.3222 0.3834
S 0.0601 0.5951 0.6821
S 0.1350 0.1896 0.7085
S 0.1896 0.1350 0.2085
S 0.2723 0.7277 0.2859
S 0.4049 0.9399 0.6821
S 0.4859 0.5141 0.6548
S 0.5141 0.4859 0.1548
S 0.5951 0.0601 0.1821
S 0.7277 0.2723 0.7859
S 0.8104 0.8650 0.7085
S 0.8650 0.8104 0.2085
S 0.9399 0.4049 0.1821

***

[5]
Compound: Ce3SnS6
Source: Alexandria via LeMat-Bulk
Functional: GGA-PBE
Structure: optimized geometry

Lattice parameters (Å, degrees): 8.2068 8.2068 8.2068 100.63 100.63 100.63
Fractional coordinates of all 20 atoms:
Ce 0.1249 0.2863 0.6224
Ce 0.2863 0.6224 0.1249
Ce 0.3776 0.8751 0.7137
Ce 0.6224 0.1249 0.2863
Ce 0.7137 0.3776 0.8751
Ce 0.8751 0.7137 0.3776
Sn 0.0000 0.0000 0.0000
Sn 0.5000 0.5000 0.5000
S 0.0582 0.3227 0.9403
S 0.0597 0.9418 0.6773
S 0.1749 0.5796 0.4301
S 0.3227 0.9403 0.0582
S 0.4204 0.5699 0.8251
S 0.4301 0.1749 0.5796
S 0.5699 0.8251 0.4204
S 0.5796 0.4301 0.1749
S 0.6773 0.0597 0.9418
S 0.8251 0.4204 0.5699
S 0.9403 0.0582 0.3227
S 0.9418 0.6773 0.0597

***

[6]
Compound: Ce2SnS6
Source: Alexandria via LeMat-Bulk
Functional: GGA-PBE
Structure: optimized geometry

Lattice parameters (Å, degrees): 6.2092 6.2092 12.4497 90.00 90.00 90.00
Fractional coordinates of all 18 atoms:
Ce 0.0000 0.0000 0.1664
Ce 0.0000 0.0000 0.8336
Ce 0.5000 0.5000 0.3336
Ce 0.5000 0.5000 0.6664
Sn 0.0000 0.0000 0.5000
Sn 0.5000 0.5000 0.0000
S 0.1898 0.1898 0.3423
S 0.1898 0.1898 0.6577
S 0.1983 0.1983 0.0000
S 0.3017 0.6983 0.5000
S 0.3102 0.6898 0.1577
S 0.3102 0.6898 0.8423
S 0.6898 0.3102 0.1577
S 0.6898 0.3102 0.8423
S 0.6983 0.3017 0.5000
S 0.8017 0.8017 0.0000
S 0.8102 0.8102 0.3423
S 0.8102 0.8102 0.6577

***

[7]
Compound: CeSnS2
Source: Alexandria via LeMat-Bulk
Functional: GGA-PBE
Structure: optimized geometry

Lattice parameters (Å, degrees): 8.7661 8.7661 8.7661 26.64 26.64 26.64
Fractional coordinates of all 4 atoms:
Ce 0.0000 0.0000 0.0000
Sn 0.5000 0.5000 0.5000
S 0.1032 0.1032 0.1032
S 0.8968 0.8968 0.8968

***

[8]
Compound: CeSnS4
Source: Alexandria via LeMat-Bulk
Functional: GGA-PBE
Structure: optimized geometry

Lattice parameters (Å, degrees): 6.5901 6.4842 6.6958 90.00 97.65 90.00
Fractional coordinates of all 12 atoms:
Ce 0.0000 0.0000 0.0000
Ce 0.0000 0.5000 0.5000
Sn 0.5000 0.0000 0.5000
Sn 0.5000 0.5000 0.0000
S 0.1835 0.1812 0.3500
S 0.1835 0.3188 0.8500
S 0.3052 0.7117 0.2588
S 0.3052 0.7883 0.7588
S 0.6948 0.2117 0.2412
S 0.6948 0.2883 0.7412
S 0.8165 0.6812 0.1500
S 0.8165 0.8188 0.6500

***

[9]
Compound: CeTl3Sn2S6
Source: Alexandria via LeMat-Bulk
Functional: GGA-PBE
Structure: optimized geometry

Lattice parameters (Å, degrees): 7.1458 7.1458 7.7071 98.80 98.80 119.93
Fractional coordinates of all 12 atoms:
Ce 0.0000 0.0000 0.0000
Tl 0.1679 0.8321 0.5000
Tl 0.5000 0.5000 0.5000
Tl 0.8321 0.1679 0.5000
Sn 0.3334 0.6666 0.0000
Sn 0.6666 0.3334 0.0000
S 0.0664 0.3931 0.2006
S 0.2585 0.2585 0.7971
S 0.3931 0.0664 0.2006
S 0.6069 0.9336 0.7994
S 0.7415 0.7415 0.2029
S 0.9336 0.6069 0.7994

***

[10]
Compound: CeTl2SnS4
Source: Alexandria via LeMat-Bulk
Functional: GGA-PBE
Structure: optimized geometry

Lattice parameters (Å, degrees): 7.2636 4.1495 7.7025 90.00 107.75 90.00
Fractional coordinates of all 8 atoms:
Ce 0.0000 0.0000 0.0000
Tl 0.0000 0.5000 0.5000
Tl 0.5000 0.0000 0.5000
Sn 0.5000 0.5000 0.0000
S 0.2233 0.5000 0.1997
S 0.2480 0.0000 0.7973
S 0.7520 0.0000 0.2027
S 0.7767 0.5000 0.8003

***

[11]
Compound: CeTl2SnS5
Source: Alexandria via LeMat-Bulk
Functional: GGA-PBE
Structure: optimized geometry

Lattice parameters (Å, degrees): 9.5909 9.5909 14.0684 90.00 90.00 155.47
Fractional coordinates of all 18 atoms:
Ce 0.2084 0.7916 0.5000
Ce 0.7916 0.2084 0.0000
Tl 0.1228 0.8772 0.1267
Tl 0.1344 0.8656 0.7964
Tl 0.8656 0.1344 0.2964
Tl 0.8772 0.1228 0.6267
Sn 0.4441 0.5559 0.8853
Sn 0.5559 0.4441 0.3853
S 0.0459 0.9541 0.4927
S 0.2952 0.7048 0.1220
S 0.3146 0.6854 0.8611
S 0.3434 0.6566 0.4743
S 0.4895 0.5105 0.2466
S 0.5105 0.4895 0.7466
S 0.6566 0.3434 0.9743
S 0.6854 0.3146 0.3611
S 0.7048 0.2952 0.6220
S 0.9541 0.0459 0.9927

***

[12]
Compound: SrCeS2
Source: Alexandria via LeMat-Bulk
Functional: GGA-PBE
Structure: optimized geometry

Lattice parameters (Å, degrees): 4.0970 4.0970 14.0254 90.00 90.00 120.00
Fractional coordinates of all 8 atoms:
Sr 0.3333 0.6667 0.2500
Sr 0.6667 0.3333 0.7500
Ce 0.0000 0.0000 0.0000
Ce 0.0000 0.0000 0.5000
S 0.3333 0.6667 0.6177
S 0.3333 0.6667 0.8823
S 0.6667 0.3333 0.1177
S 0.6667 0.3333 0.3823

***

The records above yield raw formation energy values of -1709 -1223 -1282 -1621 -1569 -1137 -523 -927 -735 -934 -795 -1977 meV/atom, respectively.